(1)
# Cu2TeP2 (PBE, relaxed)
# Formation energy from raw total energies, eV per atom: 0.312
# M_tot, Bohr magnetons per cell: 0.000
# Crystal system: tetragonal
# Density, Mg/m³: 6.31
data_Cu2TeP2
_cell_length_a 3.8358
_cell_length_b 3.8358
_cell_length_c 6.2820
_cell_angle_alpha 72.22
_cell_angle_beta 72.22
_cell_angle_gamma 90.00
_space_group_name_H-M_alt 'P 1'
_space_group_IT_number 1
_space_group_name_Hall 'P 1'
loop_
_atom_site_label
_atom_site_fract_x
_atom_site_fract_y
_atom_site_fract_z
P1 0.7500 0.2500 0.5000
P2 0.2500 0.7500 0.5000
Te1 0.0000 0.0000 0.0000
Cu1 0.3845 0.3845 0.2309
Cu2 0.6155 0.6155 0.7691

(2)
# Tb6Ce2Dy3Sc (PBE, relaxed)
# M_tot, Bohr magnetons per cell: 1.939
# Crystal system: monoclinic
# Energy of formation, eV per atom: 0.05
# Density, Mg/m³: 7.92
data_Tb6Ce2Dy3Sc
_cell_length_a 6.0974
_cell_length_b 6.0974
_cell_length_c 11.6846
_cell_angle_alpha 95.00
_cell_angle_beta 95.00
_cell_angle_gamma 120.00
_space_group_name_H-M_alt 'P 1'
_space_group_IT_number 1
_space_group_name_Hall 'P 1'
loop_
_atom_site_label
_atom_site_fract_x
_atom_site_fract_y
_atom_site_fract_z
Tb1 0.9175 0.5853 0.7533
Tb2 0.7501 0.7501 0.2471
Tb3 0.0825 0.4147 0.2467
Tb4 0.5853 0.9175 0.7533
Tb5 0.2499 0.2499 0.7529
Tb6 0.4147 0.0825 0.2467
Ce1 0.3337 0.6663 0.0000
Ce2 0.6663 0.3337 0.0000
Dy1 0.1660 0.8340 0.5000
Dy2 0.8340 0.1660 0.5000
Dy3 0.5000 0.5000 0.5000
Sc1 0.0000 0.0000 0.0000

(3)
# K2ErNpO6 (PBE, relaxed)
# Formation energy from raw total energies, eV per atom: -2.694
# M_tot, Bohr magnetons per cell: 0.000
# Crystal system: cubic
# Density, Mg/m³: 6.13
data_K2ErNpO6
_cell_length_a 6.0510
_cell_length_b 6.0509
_cell_length_c 8.5577
_cell_angle_alpha 90.00
_cell_angle_beta 90.00
_cell_angle_gamma 90.00
_space_group_name_H-M_alt 'P 1'
_space_group_IT_number 1
_space_group_name_Hall 'P 1'
loop_
_atom_site_label
_atom_site_fract_x
_atom_site_fract_y
_atom_site_fract_z
K1 0.5000 0.7500 0.2500
K2 0.0000 0.2500 0.7500
K3 0.5000 0.7500 0.7500
K4 0.0000 0.2500 0.2500
Er1 0.0000 0.7500 0.5000
Er2 0.5000 0.2500 0.0000
Np1 0.5000 0.2500 0.5000
Np2 0.0000 0.7500 0.0000
O1 0.5000 0.2502 0.2623
O2 0.5000 0.2502 0.7377
O3 0.0000 0.7498 0.2377
O4 0.0000 0.7498 0.7623
O5 0.2624 0.0124 0.5000
O6 0.7376 0.0124 0.5000
O7 0.2624 0.4876 0.5000
O8 0.7376 0.4876 0.5000
O9 0.7624 0.5124 0.0000
O10 0.2376 0.5124 0.0000
O11 0.2376 0.9876 0.0000
O12 0.7624 0.9876 0.0000

(4)
# BeAlCd2 (PBE, relaxed)
# M_tot, Bohr magnetons per cell: 0.000
# Crystal system: orthorhombic
# Energy of formation, eV per atom: 0.21
# Energy above the most stable polymorph in this dataset, eV per atom: 0.000
# Density, Mg/m³: 5.92
data_BeAlCd2
_cell_length_a 6.8164
_cell_length_b 6.8164
_cell_length_c 6.8164
_cell_angle_alpha 155.82
_cell_angle_beta 145.56
_cell_angle_gamma 42.53
_space_group_name_H-M_alt 'P 1'
_space_group_IT_number 1
_space_group_name_Hall 'P 1'
loop_
_atom_site_label
_atom_site_fract_x
_atom_site_fract_y
_atom_site_fract_z
Be1 0.2500 0.7500 0.5000
Al1 0.7500 0.2500 0.5000
Cd1 0.0704 0.0704 0.0000
Cd2 0.4296 0.4296 0.0000

(5)
# VTc2TeRh (PBE, relaxed)
# Formation energy from raw total energies, eV per atom: 1.769
# M_tot, Bohr magnetons per cell: 1.710
# Crystal system: tetragonal
# Density, Mg/m³: 7.31
data_VTc2TeRh
_cell_length_a 4.6620
_cell_length_b 4.9877
_cell_length_c 4.6620
_cell_angle_alpha 90.00
_cell_angle_beta 90.00
_cell_angle_gamma 90.00
_space_group_name_H-M_alt 'P 1'
_space_group_IT_number 1
_space_group_name_Hall 'P 1'
loop_
_atom_site_label
_atom_site_fract_x
_atom_site_fract_y
_atom_site_fract_z
Te1 0.0000 0.5000 0.0000
Rh1 0.0000 0.0000 0.0000
Tc1 0.0000 0.0000 0.5000
Tc2 0.5000 0.0000 0.0000
V1 0.5000 0.5000 0.5000

(6)
# NiHRuPt2 (PBE, relaxed)
# Total DFT energy (no corrections), eV per atom: -5.9383
# M_tot, Bohr magnetons per cell: 0.000
# Crystal system: tetragonal
# Density, Mg/m³: 15.27
data_NiHRuPt2
_cell_length_a 3.9224
_cell_length_b 3.9224
_cell_length_c 3.8931
_cell_angle_alpha 90.00
_cell_angle_beta 90.00
_cell_angle_gamma 90.00
_space_group_name_H-M_alt 'P 1'
_space_group_IT_number 1
_space_group_name_Hall 'P 1'
loop_
_atom_site_label
_atom_site_fract_x
_atom_site_fract_y
_atom_site_fract_z
Ru1 0.0000 0.0000 0.5000
H1 0.0000 0.0000 0.0000
Pt1 0.0000 0.5000 0.0000
Pt2 0.5000 0.0000 0.0000
Ni1 0.5000 0.5000 0.5000